# 1
Below is a relaxed SnBi2Pb2 crystal, with properties calculated at the PBE-GGA level.

Cell and atoms, written as POSCAR:
```
SnBi2Pb2
1.0
-4.0751 0.3777 1.5890
-0.3421 -4.3738 0.1622
1.0272 -1.9438 9.1611
Pb Bi Sn
2 2 1
Direct
0.4075 0.4075 0.1850
0.5925 0.5925 0.8150
0.7500 0.2500 0.5000
0.2500 0.7500 0.5000
0.0000 0.0000 0.0000
```

Computed properties:
V	34.3	Å³/atom
ΔE to the lowest computed polymorph	140.0	meV per atom
N(E_F)	0.861	states/eV per atom
DFT formation energy	0.20	eV per atom
SG	I4/mmm

***

# 2
Below is a relaxed SnBi7Pb12 crystal, with properties calculated at the PBE-GGA level.

Cell and atoms, written as POSCAR:
```
SnBi7Pb12
1.0
-2.2875 6.4106 6.5983
-7.4270 -1.4038 -5.7215
2.2977 -8.1699 4.2236
Sn Bi Pb
1 7 12
Direct
0.0000 0.0000 0.0000
0.8042 0.6260 0.9621
0.3740 0.0379 0.1958
0.0379 0.1958 0.3740
0.5000 0.5000 0.5000
0.9621 0.8042 0.6260
0.6260 0.9621 0.8042
0.1958 0.3740 0.0379
0.8865 0.1224 0.6305
0.8776 0.3695 0.1135
0.5546 0.2180 0.6346
0.7820 0.3654 0.4454
0.3695 0.1135 0.8776
0.3654 0.4454 0.7820
0.6346 0.5546 0.2180
0.6305 0.8865 0.1224
0.2180 0.6346 0.5546
0.4454 0.7820 0.3654
0.1224 0.6305 0.8865
0.1135 0.8776 0.3695
```

Computed properties:
V	32.9	Å³/atom
ΔE to the lowest computed polymorph	0.0	meV per atom
N(E_F)	0.502	states/eV per atom
DFT formation energy	0.05	eV per atom
SG	R-3

***

# 3
Below is a relaxed SnBi2Pb2 crystal, with properties calculated at the PBE-GGA level.

Cell and atoms, written as POSCAR:
```
SnBi2Pb2
1.0
8.9667 0.0000 0.0000
0.0000 8.9667 0.0000
0.0000 0.0000 4.0950
Pb Bi Sn
4 4 2
Direct
0.1433 0.6433 0.5000
0.6433 0.8567 0.5000
0.8567 0.3567 0.5000
0.3567 0.1433 0.5000
0.3448 0.8448 0.0000
0.8448 0.6552 0.0000
0.6552 0.1552 0.0000
0.1552 0.3448 0.0000
0.0000 0.0000 0.0000
0.5000 0.5000 0.0000
```

Computed properties:
V	32.9	Å³/atom
ΔE to the lowest computed polymorph	53.9	meV per atom
N(E_F)	0.469	states/eV per atom
DFT formation energy	0.12	eV per atom
SG	P4/mbm

***

# 4
Below is a relaxed SnBi2Pb9 crystal, with properties calculated at the PBE-GGA level.

Cell and atoms, written as POSCAR:
```
SnBi2Pb9
1.0
5.9804 0.0000 0.0000
0.0000 5.9804 0.0000
0.0000 0.0000 10.5810
Sn Bi Pb
1 2 9
Direct
0.0000 0.0000 0.0000
0.0000 0.0000 0.3242
0.0000 0.0000 0.6758
0.5000 0.5000 0.0000
0.5000 0.5000 0.3344
0.5000 0.5000 0.6656
0.5000 0.0000 0.1656
0.5000 0.0000 0.5000
0.5000 0.0000 0.8344
0.0000 0.5000 0.1656
0.0000 0.5000 0.5000
0.0000 0.5000 0.8344
```

Computed properties:
V	31.5	Å³/atom
N(E_F)	0.639	states/eV per atom
DFT formation energy	0.03	eV per atom
SG	P4/mmm